1.
An optimized crystal structure of BaHg2Sb. Source: the Alexandria database, functional PBE-GGA.

Properties
V   159 Å³/f.u.
D(E_F)   1.202 states/eV/atom
Energy relative to the elements, uncorrected   -328 meV/atom

Unit cell a=7.4604 b=7.4604 c=7.4604 alpha=141.54 beta=141.54 gamma=55.52
Closest atoms and distances in Å follow each position.
Fractional coordinates of all 4 atoms:
Ba 0.0000 0.0000 0.0000  4 Sb 3.47, 2 Hg 3.67
Hg 0.2783 0.2783 0.0000  1 Sb 2.93
Hg 0.7217 0.7217 0.0000  1 Sb 2.93
Sb 0.5000 0.5000 0.0000  2 Hg 2.93

---

2.
An optimized crystal structure of BaHgSb2. Source: the Alexandria database, functional PBE-GGA.

Properties
V   137 Å³/f.u.
D(E_F)   0.457 states/eV/atom
Energy relative to the elements, uncorrected   -354 meV/atom

Unit cell a=6.5612 b=6.5612 c=6.5612 alpha=46.77 beta=46.77 gamma=46.77
Closest atoms and distances in Å follow each position.
Fractional coordinates of all 4 atoms:
Ba 0.0000 0.0000 0.0000  8 Sb 3.62-3.73
Hg 0.5000 0.5000 0.5000  6 Sb 3.09
Sb 0.2072 0.2072 0.2072  3 Hg 3.09, 3 Sb 3.32
Sb 0.7928 0.7928 0.7928  3 Hg 3.09, 3 Sb 3.32

---

3.
An optimized crystal structure of Ba2Hg3Sb2. Source: the Alexandria database, functional PBE-GGA.

Properties
V   231 Å³/f.u.
D(E_F)   0.118 states/eV/atom
Energy relative to the elements, uncorrected   -607 meV/atom

Unit cell a=6.5578 b=6.5578 c=7.4317 alpha=96.49 beta=96.49 gamma=46.82
Closest atoms and distances in Å follow each position.
Fractional coordinates of all 7 atoms:
Ba 0.1252 0.1252 0.2592  7 Hg 3.56-3.95, 5 Sb 3.57-3.83
Ba 0.8748 0.8748 0.7408  7 Hg 3.56-3.95, 5 Sb 3.57-3.83
Hg 0.3926 0.3926 0.0701  1 Hg 2.90, 2 Sb 3.05
Hg 0.5000 0.5000 0.5000  2 Hg 3.30, 4 Ba 3.60
Hg 0.6074 0.6074 0.9299  1 Hg 2.90, 2 Sb 3.05
Sb 0.1743 0.1743 0.7600  3 Hg 3.05-3.27
Sb 0.8257 0.8257 0.2400  3 Hg 3.05-3.27

---

4.
An optimized crystal structure of BaHg2Sb. Source: the Alexandria database, functional PBE-GGA.

Properties
V   127 Å³/f.u.
D(E_F)   0.376 states/eV/atom
Energy relative to the elements, uncorrected   -520 meV/atom

Unit cell a=5.0592 b=8.1564 c=6.6288 alpha=90.00 beta=112.16 gamma=90.00
Closest atoms and distances in Å follow each position.
Fractional coordinates of all 8 atoms:
Ba 0.0961 0.2500 0.1884  6 Hg 3.52-3.87, 3 Sb 3.54-3.63
Ba 0.9039 0.7500 0.8116  6 Hg 3.52-3.87, 3 Sb 3.54-3.63
Hg 0.3772 0.0473 0.7584  2 Hg 3.07-3.31, 3 Sb 3.15-3.32
Hg 0.3772 0.4527 0.7584  2 Hg 3.07-3.31, 3 Sb 3.15-3.32
Hg 0.6228 0.5473 0.2416  2 Hg 3.07-3.31, 3 Sb 3.15-3.32
Hg 0.6228 0.9527 0.2416  2 Hg 3.07-3.31, 3 Sb 3.15-3.32
Sb 0.1946 0.7500 0.3884  6 Hg 3.15-3.32
Sb 0.8054 0.2500 0.6116  6 Hg 3.15-3.32